{
  "formula": "TaNb6Mo",
  "functional": "PBE-GGA",
  "state": "relaxed",
  "lattice": [[5.7110, -0.8352, -0.9447], [-1.4539, 5.5857, -0.9447], [-1.4539, -1.6224, 5.4277]],
  "species": ["Ta", "Nb", "Nb", "Nb", "Nb", "Nb", "Nb", "Mo"],
  "frac_coords": [[0.0000, 0.0000, 0.0000], [0.2508, 0.7468, 0.2508], [0.2508, 0.2508, 0.7468], [0.7492, 0.2532, 0.7492], [0.2532, 0.7492, 0.7492], [0.7492, 0.7492, 0.2532], [0.7468, 0.2508, 0.2508], [0.5000, 0.5000, 0.5000]],
  "delta_e_f_ev_per_atom": 0.159,
  "crystal_system": "trigonal"
}